a:
Computed, not measured: Pd2PtRh2 after structural relaxation at the PBE level of DFT.

Summary:
size of the total moment	0.00	μB per cell
N(E_F)	34.95	states/eV/cell

a b c (Å): 3.904 19.580 3.908
angles (deg): 90.00 90.00 90.00
Space group Cmcm (No. 63)
Symmetry-distinct sites (fractional):
Pd1 0.000 0.052 0.250 [4 per cell]
Pd2 0.000 0.448 0.250 [4 per cell]
Pt1 0.000 0.153 0.750 [4 per cell]
Rh1 0.000 0.250 0.250 [4 per cell]
Rh2 0.000 0.346 0.750 [4 per cell]

b:
Computed, not measured: Pd2PtRh2 after structural relaxation at the PBE level of DFT.

Summary:
size of the total moment	2.17	μB per cell
N(E_F)	24.55	states/eV/cell

a b c (Å): 7.407 7.407 2.861
angles (deg): 90.00 90.00 90.00
Space group P4/mbm (No. 127)
Symmetry-distinct sites (fractional):
Pd1 0.174 0.326 0.000 [4 per cell]
Pt1 0.000 0.000 0.500 [2 per cell]
Rh1 0.123 0.623 0.500 [4 per cell]

Most stable structure - a; separation to the second - 350 meV per atom.

a:
Computed, not measured: KBaTa2 after structural relaxation at the PBE level of DFT.

Summary:
size of the total moment	0.00	μB per cell
N(E_F)	5.03	states/eV/cell

a b c (Å): 3.440 4.847 6.264
angles (deg): 90.00 90.00 90.00
Space group Pmmm (No. 47)
Symmetry-distinct sites (fractional):
K1 0.000 0.000 0.000 [1 per cell]
Ba1 0.500 0.500 0.000 [1 per cell]
Ta1 0.000 0.500 0.500 [1 per cell]
Ta2 0.500 0.000 0.500 [1 per cell]

b:
Computed, not measured: KBaTa2 after structural relaxation at the PBE level of DFT.

Summary:
size of the total moment	0.00	μB per cell
N(E_F)	22.36	states/eV/cell

a b c (Å): 4.159 4.159 24.927
angles (deg): 90.00 90.00 90.00
Space group I-42d (No. 122)
Symmetry-distinct sites (fractional):
K1 0.000 0.000 0.000 [4 per cell]
Ba1 0.000 0.000 0.500 [4 per cell]
Ta1 0.249 0.250 0.625 [8 per cell]

Most stable structure - a; separation to the second - 172 meV per atom.

a:
Computed, not measured: AlMoIr2 after structural relaxation at the PBE level of DFT.

Summary:
size of the total moment	0.00	μB per cell
N(E_F)	6.04	states/eV/cell

a b c (Å): 9.067 2.775 4.778
angles (deg): 90.00 100.92 90.00
Space group C2/m (No. 12)
Symmetry-distinct sites (fractional):
Al1 0.000 0.000 0.000 [2 per cell]
Mo1 0.000 0.500 0.500 [2 per cell]
Ir1 0.247 0.500 0.249 [4 per cell]

b:
Computed, not measured: AlMoIr2 after structural relaxation at the PBE level of DFT.

Summary:
size of the total moment	0.00	μB per cell
N(E_F)	12.76	states/eV/cell

a b c (Å): 2.7928 2.7928 26.4384
angles (deg): 90.00 90.00 120.00
Space group R3m (No. 160, hexagonal axes)
Symmetry-distinct sites (fractional):
Al1 0.0000 0.0000 0.0000 [3 per cell]
Mo1 0.0000 0.0000 0.2468 [3 per cell]
Ir1 0.0000 0.0000 0.4994 [3 per cell]
Ir2 0.0000 0.0000 0.7438 [3 per cell]

Most stable structure - a; separation to the second - 87 meV per atom.

a:
Computed, not measured: Ce4Ge7 after structural relaxation at the PBE level of DFT.

Summary:
size of the total moment	2.55	μB per cell
N(E_F)	20.74	states/eV/cell

a b c (Å): 4.091 4.156 15.019
angles (deg): 90.00 90.00 90.00
Space group Pmm2 (No. 25)
Symmetry-distinct sites (fractional):
Ce1 0.000 0.000 0.000 [1 per cell]
Ce2 0.000 0.500 0.241 [1 per cell]
Ce3 0.500 0.000 0.748 [1 per cell]
Ce4 0.500 0.500 0.486 [1 per cell]
Ge1 0.000 0.000 0.399 [1 per cell]
Ge2 0.000 0.000 0.569 [1 per cell]
Ge3 0.000 0.500 0.662 [1 per cell]
Ge4 0.000 0.500 0.834 [1 per cell]
Ge5 0.500 0.000 0.295 [1 per cell]
Ge6 0.500 0.500 0.095 [1 per cell]
Ge7 0.500 0.500 0.929 [1 per cell]

b:
Computed, not measured: Ce4Ge7 after structural relaxation at the PBE level of DFT.

Summary:
size of the total moment	9.58	μB per cell
N(E_F)	77.95	states/eV/cell

a b c (Å): 5.947 14.123 11.862
angles (deg): 90.00 90.00 90.00
Space group C222_1 (No. 20)
Symmetry-distinct sites (fractional):
Ce1 0.000 0.006 0.250 [4 per cell]
Ce2 0.006 0.500 0.000 [4 per cell]
Ce3 0.243 0.255 0.619 [8 per cell]
Ge1 0.000 0.445 0.750 [4 per cell]
Ge2 0.010 0.089 0.990 [8 per cell]
Ge3 0.178 0.354 0.337 [8 per cell]
Ge4 0.241 0.327 0.870 [8 per cell]

Most stable structure - b; separation to the second - 82 meV per atom.